Below is Pr4Bi3 after structural relaxation, with properties calculated at the GGA-PBEsol level.

```
Pr4Bi3
1.0
-4.8066 4.8066 4.8066
4.8066 -4.8066 4.8066
4.8066 4.8066 -4.8066
Pr Bi
8 6
Direct
0.0000 0.1433 0.5000
0.0000 0.6433 0.5000
0.1433 0.5000 0.0000
0.3567 0.3567 0.3567
0.5000 0.0000 0.1433
0.5000 0.0000 0.6433
0.6433 0.5000 0.0000
0.8567 0.8567 0.8567
0.1250 0.8750 0.2500
0.2500 0.1250 0.8750
0.3750 0.6250 0.7500
0.6250 0.7500 0.3750
0.7500 0.3750 0.6250
0.8750 0.2500 0.1250
```

Mass density = 8.90 g/cm3
Magnetization = 0.00 μB per cell
Fermi-level density of states = 14.47 states/eV/cell
E = -79.6 eV/cell

***

Below is PrBi after structural relaxation, with properties calculated at the GGA-PBEsol level.

```
PrBi
1.0
0.0000 3.2305 3.2305
3.2305 0.0000 3.2305
3.2305 3.2305 0.0000
Pr Bi
1 1
Direct
0.0000 0.0000 0.0000
0.5000 0.5000 0.5000
```

Mass density = 8.62 g/cm3
Magnetization = 0.00 μB per cell
Fermi-level density of states = 0.32 states/eV/cell
E = -11.4 eV/cell

***

Below is Pr3Bi4Pt3 after structural relaxation, with properties calculated at the GGA-PBEsol level.

```
Pr3Bi4Pt3
1.0
-5.0254 5.0254 5.0254
5.0254 -5.0254 5.0254
5.0254 5.0254 -5.0254
Pr Bi Pt
6 8 6
Direct
0.1250 0.8750 0.2500
0.2500 0.1250 0.8750
0.3750 0.6250 0.7500
0.6250 0.7500 0.3750
0.7500 0.3750 0.6250
0.8750 0.2500 0.1250
0.0000 0.1702 0.5000
0.0000 0.6702 0.5000
0.1702 0.5000 0.0000
0.3298 0.3298 0.3298
0.5000 0.0000 0.1702
0.5000 0.0000 0.6702
0.6702 0.5000 0.0000
0.8298 0.8298 0.8298
0.1250 0.7500 0.8750
0.2500 0.6250 0.3750
0.3750 0.2500 0.6250
0.6250 0.3750 0.2500
0.7500 0.8750 0.1250
0.8750 0.1250 0.7500
```

Mass density = 12.06 g/cm3
Magnetization = 0.00 μB per cell
Fermi-level density of states = 16.95 states/eV/cell
E = -124.4 eV/cell

***

Below is PrBiRh after structural relaxation, with properties calculated at the GGA-PBEsol level.

```
PrBiRh
1.0
7.4131 0.0000 0.0000
0.0000 4.7168 0.0000
0.0000 0.0000 8.0111
Pr Bi Rh
4 4 4
Direct
0.0140 0.2500 0.1961
0.4860 0.7500 0.6961
0.5140 0.2500 0.3039
0.9860 0.7500 0.8039
0.1826 0.2500 0.5890
0.3174 0.7500 0.0890
0.6826 0.2500 0.9110
0.8174 0.7500 0.4110
0.2050 0.7500 0.4176
0.2950 0.2500 0.9176
0.7050 0.7500 0.0824
0.7950 0.2500 0.5824
```

Mass density = 10.74 g/cm3
Magnetization = 0.00 μB per cell
Fermi-level density of states = 9.45 states/eV/cell
E = -79.2 eV/cell

***

Below is RbBiPt after structural relaxation, with properties calculated at the GGA-PBEsol level.

```
RbBiPt
1.0
6.3310 -2.3370 0.0000
6.3310 2.3370 0.0000
-1.1504 0.0000 6.3838
Rb Bi Pt
2 2 2
Direct
0.1265 0.1265 0.3614
0.8735 0.8735 0.6386
0.4053 0.4053 0.1474
0.5947 0.5947 0.8526
0.2010 0.2010 0.9108
0.7990 0.7990 0.0892
```

Mass density = 8.61 g/cm3
Magnetization = 0.00 μB per cell
Fermi-level density of states = 2.41 states/eV/cell
E = -26.3 eV/cell

***

Below is BiPt3Rh after structural relaxation, with properties calculated at the GGA-PBEsol level.

```
BiPt3Rh
1.0
4.7592 0.0000 0.0000
0.0000 4.7592 0.0000
0.0000 0.0000 4.7592
Bi Pt Rh
1 3 1
Direct
0.0000 0.0000 0.0000
0.0000 0.5000 0.5000
0.5000 0.0000 0.5000
0.5000 0.5000 0.0000
0.5000 0.5000 0.5000
```

Mass density = 13.82 g/cm3
Magnetization = 1.57 μB per cell
Fermi-level density of states = 7.07 states/eV/cell
E = -27.9 eV/cell

***

Below is BiPtS2 after structural relaxation, with properties calculated at the GGA-PBEsol level.

```
BiPtS2
1.0
-2.7051 2.7051 6.5496
2.7051 -2.7051 6.5496
2.7051 2.7051 -6.5496
Bi Pt S
2 2 4
Direct
0.0000 0.0000 0.0000
0.7500 0.2500 0.5000
0.2500 0.7500 0.5000
0.5000 0.5000 0.0000
0.1934 0.6250 0.0684
0.3750 0.4434 0.5684
0.5566 0.1250 0.9316
0.8750 0.8066 0.4316
```

Mass density = 8.11 g/cm3
ΔE_f (raw) = 0.01 eV per atom
Magnetization = 0.00 μB per cell
Fermi-level density of states = 3.89 states/eV/cell

***

Below is BiSbPt3 after structural relaxation, with properties calculated at the GGA-PBEsol level.

```
BiSbPt3
1.0
4.8983 0.0000 0.0000
0.0000 4.8983 0.0000
0.0000 0.0000 4.8983
Bi Sb Pt
1 1 3
Direct
0.0000 0.0000 0.0000
0.5000 0.5000 0.5000
0.0000 0.5000 0.5000
0.5000 0.0000 0.5000
0.5000 0.5000 0.0000
```

Mass density = 12.94 g/cm3
ΔE_f (raw) = 0.61 eV per atom
Magnetization = 0.00 μB per cell
Fermi-level density of states = 2.21 states/eV/cell

***

What is the formula in the fifth record?
RbBiPt